# 1
Entry from Alexandria via LeMat-Bulk: an optimized crystal structure of Dy8Tm3Th3 (PBE).

Cell lengths 9.563, 9.563, 9.563 Å; angles 145.70, 112.60, 77.85 degrees
Fractional coordinates of all 14 atoms:
Dy 0.058 0.397 0.660
Dy 0.064 0.223 0.841
Dy 0.263 0.603 0.660
Dy 0.381 0.223 0.159
Dy 0.619 0.777 0.841
Dy 0.737 0.397 0.340
Dy 0.936 0.777 0.159
Dy 0.942 0.603 0.340
Tm 0.000 0.000 0.000
Tm 0.307 0.000 0.307
Tm 0.693 0.000 0.693
Th 0.315 0.815 0.500
Th 0.500 0.500 0.000
Th 0.685 0.185 0.500

**Energy relative to the elements**: 3.59 kcal/mol of atoms
**V**: 445 Å³/cell
**ρ**: 9.34 g/cm³
**E**: -70.3 eV per formula unit
**Fermi-level density of states**: 22.4 states/eV/f.u.

# 2
Entry from Alexandria via LeMat-Bulk: an optimized crystal structure of TaTl (PBE).

Cell lengths 4.861, 4.861, 12.707 Å; angles 90.00, 90.00, 120.00 degrees
Fractional coordinates of all 12 atoms:
Ta 0.000 0.000 0.132
Ta 0.000 0.000 0.868
Ta 0.333 0.667 0.535
Ta 0.333 0.667 0.798
Ta 0.667 0.333 0.202
Ta 0.667 0.333 0.465
Tl 0.000 0.000 0.378
Tl 0.000 0.000 0.622
Tl 0.333 0.667 0.045
Tl 0.333 0.667 0.289
Tl 0.667 0.333 0.711
Tl 0.667 0.333 0.955

**Energy relative to the elements**: 22.27 kcal/mol of atoms
**V**: 260 Å³/cell
**Offset from the most stable computed form**: 48.9 kJ/mol of atoms
**ρ**: 14.76 g/cm³
**E**: -12.3 eV per formula unit
**Fermi-level density of states**: 2.0 states/eV/f.u.

no.,total magnetic moment (μB per formula unit)
1,0.0
2,0.0